First-principles (GGA-PBE) data for an optimized crystal structure of Y4BSb2, as listed in the Alexandria database.

a = 4.897 Å, b = 4.897 Å, c = 15.796 Å
α = 90.00°, β = 90.00°, γ = 90.00°
Space group I4/mmm (No. 139)
One atom of each set of equivalent atoms:
Y 0.000 0.000 0.162
Y 0.000 0.500 0.000
B 0.000 0.000 0.000
Sb 0.000 0.000 0.360

## Properties
**Uncorrected formation energy**: -742 meV per atom
**Spin magnetization**: 0.0 μB/f.u.
**Calculated volume**: 189.42 Å³/f.u.
**Fermi-level density of states**: 4.00 states/eV/f.u.
**Total energy**: -6.57 eV/atom